Computed, not measured: Li2MoAs after structural relaxation at the PBE level of DFT.

Results
* calculated formation energy: 0.24 eV per formula unit
* uncorrected energy: -4.766 eV per atom
* total magnetic moment: 0.30 Bohr magnetons per cell

a b c (Å): 2.655 2.655 8.765
angles (deg): 90.00 90.00 90.00
Space group P4/mmm (No. 123)
Inequivalent atoms, fractional coordinates:
Li  0.000  0.000  0.229 x2
Mo  0.500  0.500  0.500 x1
As  0.500  0.500  0.000 x1